A plane-wave DFT calculation with PBE was carried out for an optimized crystal structure of TlGaBr2.

a b c (Å): 8.0438 7.7588 8.9231
angles (deg): 90.00 90.00 90.00
Last column: nearest neighbours and their distance in Å.
Fractional coordinates of all 16 atoms:
Tl 0.0635 0.0662 0.1127  6 Br 3.29-3.39
Tl 0.5635 0.9338 0.8873  6 Br 3.29-3.39
Tl 0.5635 0.4338 0.6127  6 Br 3.29-3.39
Tl 0.0635 0.5662 0.3873  6 Br 3.29-3.39
Ga 0.0635 0.5867 0.8798  6 Br 3.09-3.32
Ga 0.5635 0.9133 0.3798  6 Br 3.09-3.32
Ga 0.5635 0.4133 0.1202  6 Br 3.09-3.32
Ga 0.0635 0.0867 0.6202  6 Br 3.09-3.32
Br 0.3081 0.7800 0.6328  3 Ga 3.09-3.31, 3 Tl 3.29-3.39
Br 0.8081 0.2200 0.3672  3 Ga 3.09-3.31, 3 Tl 3.29-3.39
Br 0.8081 0.7200 0.1328  3 Ga 3.09-3.31, 3 Tl 3.29-3.39
Br 0.3081 0.2800 0.8672  3 Ga 3.09-3.31, 3 Tl 3.29-3.39
Br 0.3179 0.7198 0.1320  3 Ga 3.09-3.32, 3 Tl 3.29-3.38
Br 0.3179 0.2198 0.3680  3 Ga 3.09-3.32, 3 Tl 3.29-3.38
Br 0.8179 0.7802 0.6320  3 Ga 3.09-3.32, 3 Tl 3.29-3.38
Br 0.8179 0.2802 0.8680  3 Ga 3.09-3.32, 3 Tl 3.29-3.38

## Properties
Uncorrected formation energy, kcal/mol of atoms: -15.3
Energy above the lowest structure with this stoichiometry, meV per atom: 28
Calculated total energy, eV/atom: -2.847
SG: Pna2_1 (33)
Total moment, μB per formula unit: 0.0
ρ, g/cm3: 5.2